## LiDy2Cd2 (PBE-GGA)

Data for LiDy2Cd2 after structural relaxation.

Results
- Energy relative to the elements: -0.090 eV/atom
- Magnetic moment: 0.000 μB/atom

a b c (Å): 7.792 7.792 7.792
angles (deg): 124.38 72.64 137.20
Sites, in units of the cell vectors:
1 Li 0.250 0.250 0.000
2 Li 0.750 0.750 0.000
3 Dy 0.188 0.680 0.869
4 Dy 0.312 0.180 0.492
5 Dy 0.688 0.820 0.508
6 Dy 0.812 0.320 0.131
7 Cd 0.069 0.304 0.373
8 Cd 0.431 0.804 0.235
9 Cd 0.569 0.196 0.765
10 Cd 0.931 0.696 0.627